# 1
# Na2LiBN2, relaxed, DFT PBE-GGA
data_Na2LiBN2
_cell_length_a 5.307
_cell_length_b 7.849
_cell_length_c 3.645
_cell_angle_alpha 90.00
_cell_angle_beta 90.00
_cell_angle_gamma 90.00
_space_group_name_H-M_alt 'P n n m'
_space_group_IT_number 58
_space_group_name_Hall '-P 2 2n'
loop_
_atom_site_label
_atom_site_fract_x
_atom_site_fract_y
_atom_site_fract_z
Na1 0.102 0.246 0.000
Li1 0.000 0.000 0.500
B1 0.000 0.500 0.500
N1 0.233 0.430 0.500
# - ΔE_f (raw): -0.50 eV/atom
# - Total magnetization: 0.0 μB per formula unit
# - Uncorrected energy: -61.72 eV for the cell shown
# - V: 12.7 Å³/atom

=====

# 2
# Ba2CaP, relaxed, DFT PBE-GGA
data_Ba2CaP
_cell_length_a 7.644
_cell_length_b 7.673
_cell_length_c 4.833
_cell_angle_alpha 90.00
_cell_angle_beta 90.00
_cell_angle_gamma 90.00
_space_group_name_H-M_alt 'C m m m'
_space_group_IT_number 65
_space_group_name_Hall '-C 2 2'
loop_
_atom_site_label
_atom_site_fract_x
_atom_site_fract_y
_atom_site_fract_z
Ba1 0.250 0.250 0.000
Ca1 0.000 0.000 0.500
P1 0.000 0.500 0.500
# - DOS at the Fermi energy: 0.83 states/eV/atom
# - Total magnetization: 0.0 μB per formula unit
# - Uncorrected energy: -24.46 eV for the cell shown
# - ΔH_f (0 K): -244 meV/atom
# - V: 35.4 Å³/atom

=====

# 3
# Ac2GaPd6, relaxed, DFT PBE-GGA
data_Ac2GaPd6
_cell_length_a 5.9304
_cell_length_b 5.9304
_cell_length_c 6.0144
_cell_angle_alpha 90.00
_cell_angle_beta 90.00
_cell_angle_gamma 120.00
_space_group_name_H-M_alt 'P -3 m 1'
_space_group_IT_number 164
_space_group_name_Hall '-P 3 2"'
loop_
_atom_site_label
_atom_site_fract_x
_atom_site_fract_y
_atom_site_fract_z
Ac1 0.3333 0.6667 0.2008
Ga1 0.0000 0.0000 0.0000
Pd1 0.1705 0.3410 0.6903
# - DOS at the Fermi energy: 0.25 states/eV/atom
# - Total magnetization: 0.0 μB per formula unit
# - Uncorrected energy: -49.52 eV for the cell shown
# - ΔH_f (0 K): -791 meV/atom
# - V: 20.4 Å³/atom

=====

# 4
# Tb2Nd5TmTh, relaxed, DFT PBE-GGA
data_Tb2Nd5TmTh
_cell_length_a 5.420
_cell_length_b 21.752
_cell_length_c 10.598
_cell_angle_alpha 90.00
_cell_angle_beta 90.00
_cell_angle_gamma 90.00
_space_group_name_H-M_alt 'C m c m'
_space_group_IT_number 63
_space_group_name_Hall '-C 2c 2'
loop_
_atom_site_label
_atom_site_fract_x
_atom_site_fract_y
_atom_site_fract_z
Tb1 0.000 0.113 0.003
Nd1 0.000 0.001 0.750
Nd2 0.000 0.278 0.557
Nd3 0.000 0.374 0.250
Nd4 0.000 0.500 0.000
Tm1 0.000 0.398 0.750
Th1 0.000 0.212 0.250
# - DOS at the Fermi energy: 1.44 states/eV/atom
# - Total magnetization: 0.0 μB per formula unit
# - Uncorrected energy: -174.93 eV for the cell shown
# - ΔH_f (0 K): 140 meV/atom
# - V: 34.7 Å³/atom

=====

# 5
# Pr3Np2UN6, relaxed, DFT PBE-GGA
data_Pr3Np2UN6
_cell_length_a 6.115
_cell_length_b 10.592
_cell_length_c 6.207
_cell_angle_alpha 90.00
_cell_angle_beta 109.14
_cell_angle_gamma 90.00
_space_group_name_H-M_alt 'C 1 2/m 1'
_space_group_IT_number 12
_space_group_name_Hall '-C 2y'
loop_
_atom_site_label
_atom_site_fract_x
_atom_site_fract_y
_atom_site_fract_z
Pr1 0.000 0.000 0.000
Pr2 0.000 0.333 0.000
Np1 0.000 0.166 0.500
U1 0.000 0.500 0.500
N1 0.232 0.337 0.707
N2 0.244 0.000 0.708
# - ΔE_f (raw): -1.29 eV/atom
# - DOS at the Fermi energy: 1.44 states/eV/atom
# - Total magnetization: 6.8 μB per formula unit
# - Uncorrected energy: -233.78 eV for the cell shown
# - V: 15.8 Å³/atom

=====

# 6
# LaHf2BPd, relaxed, DFT PBE-GGA
data_LaHf2BPd
_cell_length_a 4.991
_cell_length_b 4.991
_cell_length_c 5.562
_cell_angle_alpha 90.00
_cell_angle_beta 90.00
_cell_angle_gamma 90.00
_space_group_name_H-M_alt 'P 4/m m m'
_space_group_IT_number 123
_space_group_name_Hall '-P 4 2'
loop_
_atom_site_label
_atom_site_fract_x
_atom_site_fract_y
_atom_site_fract_z
La1 0.000 0.000 0.000
Hf1 0.000 0.500 0.500
B1 0.500 0.500 0.000
Pd1 0.000 0.000 0.500
# - DOS at the Fermi energy: 1.52 states/eV/atom
# - Total magnetization: 0.0 μB per formula unit
# - Uncorrected energy: -31.15 eV for the cell shown
# - ΔH_f (0 K): 1110 meV/atom
# - V: 27.7 Å³/atom

=====

# 7
# ZnInCoCu, relaxed, DFT PBE-GGA
data_ZnInCoCu
_cell_length_a 6.119
_cell_length_b 6.119
_cell_length_c 6.119
_cell_angle_alpha 90.00
_cell_angle_beta 90.00
_cell_angle_gamma 90.00
_space_group_name_H-M_alt 'F -4 3 m'
_space_group_IT_number 216
_space_group_name_Hall 'F -4 2 3'
loop_
_atom_site_label
_atom_site_fract_x
_atom_site_fract_y
_atom_site_fract_z
Zn1 0.000 0.000 0.000
In1 0.000 0.000 0.500
Co1 0.250 0.250 0.250
Cu1 0.250 0.250 0.750
# - DOS at the Fermi energy: 0.86 states/eV/atom
# - Total magnetization: 0.1 μB per formula unit
# - Uncorrected energy: -59.64 eV for the cell shown
# - ΔH_f (0 K): 76 meV/atom
# - V: 14.3 Å³/atom

=====

# 8
# GaFe3Ag, relaxed, DFT PBE-GGA
data_GaFe3Ag
_cell_length_a 4.746
_cell_length_b 4.746
_cell_length_c 4.746
_cell_angle_alpha 90.00
_cell_angle_beta 90.00
_cell_angle_gamma 90.00
_space_group_name_H-M_alt 'P m -3 m'
_space_group_IT_number 221
_space_group_name_Hall '-P 4 2 3'
loop_
_atom_site_label
_atom_site_fract_x
_atom_site_fract_y
_atom_site_fract_z
Ga1 0.000 0.000 0.000
Fe1 0.000 0.500 0.500
Ag1 0.500 0.500 0.500
# - DOS at the Fermi energy: 1.10 states/eV/atom
# - Total magnetization: 9.4 μB per formula unit
# - Uncorrected energy: -23.93 eV for the cell shown
# - ΔH_f (0 K): 1468 meV/atom
# - V: 21.4 Å³/atom

=====

# 9
# BaAcPF, relaxed, DFT PBE-GGA
data_BaAcPF
_cell_length_a 5.023
_cell_length_b 5.023
_cell_length_c 9.368
_cell_angle_alpha 90.00
_cell_angle_beta 90.00
_cell_angle_gamma 90.00
_space_group_name_H-M_alt 'P 4/n m m'
_space_group_IT_number 129
loop_
_space_group_symop_operation_xyz
'x,y,z'
'-x,-y,-z'
'-y+1/2,x,z'
'y+1/2,-x,-z'
'-x+1/2,-y+1/2,z'
'x+1/2,y+1/2,-z'
'y,-x+1/2,z'
'-y,x+1/2,-z'
'x+1/2,-y,-z'
'-x+1/2,y,z'
'-y,-x,-z'
'y,x,z'
'-x,y+1/2,-z'
'x,-y+1/2,z'
'y+1/2,x+1/2,-z'
'-y+1/2,-x+1/2,z'
loop_
_atom_site_label
_atom_site_fract_x
_atom_site_fract_y
_atom_site_fract_z
Ba1 0.250 0.250 0.112
Ac1 0.250 0.750 0.500
P1 0.250 0.250 0.690
F1 0.250 0.750 0.000
# - ΔE_f (raw): -1.89 eV/atom
# - DOS at the Fermi energy: 0.24 states/eV/atom
# - Total magnetization: 0.7 μB per formula unit
# - Uncorrected energy: -41.74 eV for the cell shown
# - V: 29.5 Å³/atom

=====

# 10
# HfTa, relaxed, DFT PBE-GGA
data_HfTa
_cell_length_a 7.849
_cell_length_b 8.321
_cell_length_c 10.565
_cell_angle_alpha 90.00
_cell_angle_beta 90.00
_cell_angle_gamma 90.00
_space_group_name_H-M_alt 'F d d d'
_space_group_IT_number 70
loop_
_space_group_symop_operation_xyz
'x,y,z'
'-x,-y,-z'
'-x+1/4,-y+1/4,z'
'x+1/4,y+1/4,-z'
'x,-y+1/4,-z+1/4'
'-x,y+1/4,z+1/4'
'-x+1/4,y,-z+1/4'
'x+1/4,-y,z+1/4'
'x,y+1/2,z+1/2'
'-x,-y+1/2,-z+1/2'
'-x+1/4,-y+3/4,z+1/2'
'x+1/4,y+3/4,-z+1/2'
'x,-y+3/4,-z+3/4'
'-x,y+3/4,z+3/4'
'-x+1/4,y+1/2,-z+3/4'
'x+1/4,-y+1/2,z+3/4'
'x+1/2,y,z+1/2'
'-x+1/2,-y,-z+1/2'
'-x+3/4,-y+1/4,z+1/2'
'x+3/4,y+1/4,-z+1/2'
'x+1/2,-y+1/4,-z+3/4'
'-x+1/2,y+1/4,z+3/4'
'-x+3/4,y,-z+3/4'
'x+3/4,-y,z+3/4'
'x+1/2,y+1/2,z'
'-x+1/2,-y+1/2,-z'
'-x+3/4,-y+3/4,z'
'x+3/4,y+3/4,-z'
'x+1/2,-y+3/4,-z+1/4'
'-x+1/2,y+3/4,z+1/4'
'-x+3/4,y+1/2,-z+1/4'
'x+3/4,-y+1/2,z+1/4'
loop_
_atom_site_label
_atom_site_fract_x
_atom_site_fract_y
_atom_site_fract_z
Hf1 0.125 0.304 0.125
Ta1 0.042 0.375 0.875
# - DOS at the Fermi energy: 1.40 states/eV/atom
# - Total magnetization: 0.0 μB per formula unit
# - Uncorrected energy: -327.60 eV for the cell shown
# - ΔH_f (0 K): 666 meV/atom
# - V: 21.6 Å³/atom

=====

# 11
# B2C, relaxed, DFT PBE-GGA
data_B2C
_cell_length_a 11.861
_cell_length_b 2.709
_cell_length_c 6.058
_cell_angle_alpha 90.00
_cell_angle_beta 110.95
_cell_angle_gamma 90.00
_space_group_name_H-M_alt 'C 1 m 1'
_space_group_IT_number 8
_space_group_name_Hall 'C -2y'
loop_
_atom_site_label
_atom_site_fract_x
_atom_site_fract_y
_atom_site_fract_z
B1 0.000 0.000 0.000
B2 0.004 0.500 0.475
B3 0.153 0.000 0.682
B4 0.177 0.500 0.201
B5 0.309 0.500 0.735
B6 0.356 0.000 0.243
B7 0.361 0.500 0.038
B8 0.464 0.500 0.293
C1 0.060 0.500 0.959
C2 0.096 0.500 0.738
C3 0.240 0.000 0.330
C4 0.269 0.000 0.598
# - DOS at the Fermi energy: 0.07 states/eV/atom
# - Total magnetization: 0.0 μB per formula unit
# - Uncorrected energy: -173.28 eV for the cell shown
# - ΔH_f (0 K): 306 meV/atom
# - V: 7.6 Å³/atom

=====

# 12
# HgBr2, relaxed, DFT PBE-GGA
data_HgBr2
_cell_length_a 6.840
_cell_length_b 6.840
_cell_length_c 7.149
_cell_angle_alpha 90.00
_cell_angle_beta 90.00
_cell_angle_gamma 90.00
_space_group_name_H-M_alt 'I 4/m c m'
_space_group_IT_number 140
_space_group_name_Hall '-I 4 2c'
loop_
_atom_site_label
_atom_site_fract_x
_atom_site_fract_y
_atom_site_fract_z
Hg1 0.000 0.000 0.250
Br1 0.186 0.314 0.000
# - ΔE_f (raw): -0.07 eV/atom
# - DOS at the Fermi energy: 0.85 states/eV/atom
# - Total magnetization: 0.0 μB per formula unit
# - Uncorrected energy: -15.47 eV for the cell shown
# - V: 27.9 Å³/atom